Version A
VASP calculation (PBE) on a relaxed TbErNO crystal.

Unit cell a=6.5778 b=8.0331 c=4.9282 alpha=90.00 beta=90.00 gamma=90.00
With the nearest neighbours (Å) after each atom.
Atoms (fractional coordinates):
O: 0.5955 0.3733 0.5496  3 Er 2.20-2.45, 1 Tb 2.29
O: 0.4045 0.6267 0.0496  3 Er 2.20-2.45, 1 Tb 2.29
O: 0.9045 0.3733 0.0496  3 Er 2.20-2.45, 1 Tb 2.29
O: 0.0955 0.6267 0.5496  3 Er 2.20-2.45, 1 Tb 2.29
Er: 0.0705 0.6215 0.0528  3 O 2.20-2.45, 1 N 2.20
Er: 0.5705 0.3785 0.0528  3 O 2.20-2.45, 1 N 2.20
Er: 0.9295 0.3785 0.5528  3 O 2.20-2.45, 1 N 2.20
Er: 0.4295 0.6215 0.5528  3 O 2.20-2.45, 1 N 2.20
N: 0.5665 0.8718 0.5505  1 Er 2.20, 3 Tb 2.28-2.46
N: 0.0665 0.1282 0.5505  1 Er 2.20, 3 Tb 2.28-2.46
N: 0.9335 0.8718 0.0505  1 Er 2.20, 3 Tb 2.28-2.46
N: 0.4335 0.1282 0.0505  1 Er 2.20, 3 Tb 2.28-2.46
Tb: 0.4181 0.1282 0.5496  4 N 2.28-2.47, 1 O 2.29
Tb: 0.0819 0.1282 0.0496  4 N 2.28-2.47, 1 O 2.29
Tb: 0.5819 0.8718 0.0496  4 N 2.28-2.47, 1 O 2.29
Tb: 0.9181 0.8718 0.5496  4 N 2.28-2.47, 1 O 2.29

Results
**Theoretical density**: 9.09 g/cm³

Version B
VASP calculation (PBE) on a relaxed TbErNO crystal.

Unit cell a=6.6044 b=8.0202 c=4.8933 alpha=90.00 beta=90.00 gamma=90.00
With the nearest neighbours (Å) after each atom.
Atoms (fractional coordinates):
Er: 0.4157 0.3747 0.5504  1 O 2.23, 4 N 2.24-2.45
Er: 0.0843 0.3747 0.0504  1 O 2.23, 4 N 2.24-2.45
Er: 0.5843 0.6253 0.0504  1 O 2.23, 4 N 2.24-2.45
Er: 0.9157 0.6253 0.5504  1 O 2.23, 4 N 2.24-2.45
O: 0.5919 0.1373 0.5505  1 Er 2.23, 4 Tb 2.24-2.46
O: 0.9081 0.1373 0.0505  1 Er 2.23, 4 Tb 2.24-2.46
O: 0.0919 0.8627 0.5505  1 Er 2.23, 4 Tb 2.24-2.46
O: 0.4081 0.8627 0.0505  1 Er 2.23, 4 Tb 2.24-2.46
Tb: 0.9311 0.1232 0.5508  4 O 2.24-2.46, 1 N 2.25
Tb: 0.0689 0.8768 0.0508  4 O 2.24-2.46, 1 N 2.25
Tb: 0.5689 0.1232 0.0508  4 O 2.24-2.46, 1 N 2.25
Tb: 0.4311 0.8768 0.5508  4 O 2.24-2.46, 1 N 2.25
N: 0.5730 0.6218 0.5506  4 Er 2.24-2.45, 1 Tb 2.25
N: 0.4270 0.3782 0.0506  4 Er 2.24-2.45, 1 Tb 2.25
N: 0.0730 0.3782 0.5506  4 Er 2.24-2.45, 1 Tb 2.25
N: 0.9270 0.6218 0.0506  4 Er 2.24-2.45, 1 Tb 2.25

Results
**Theoretical density**: 9.13 g/cm³

The computed energies, referenced to the most stable structure and given in meV/atom, are version A 27; version B 0.

Version A
VASP calculation (PBE) on a relaxed CuAg4 crystal.

Unit cell a=7.6365 b=7.6365 c=4.9555 alpha=96.10 beta=96.10 gamma=141.94
With the nearest neighbours (Å) after each atom.
Atoms (fractional coordinates):
Cu: 0.5952 0.4048 0.0000  1 Cu 2.75, 11 Ag 2.83-2.95
Cu: 0.4048 0.5952 0.0000  1 Cu 2.75, 11 Ag 2.83-2.95
Ag: 0.5000 0.5000 0.5000  8 Ag 2.83-2.88, 4 Cu 2.83
Ag: 0.3039 0.6961 0.5000  10 Ag 2.83-2.94, 2 Cu 2.87
Ag: 0.7992 0.2008 0.0000  9 Ag 2.87-2.90, 3 Cu 2.92-2.95
Ag: 0.0000 0.0000 0.0000  4 Cu 2.84, 8 Ag 2.87-2.90
Ag: 0.2008 0.7992 0.0000  9 Ag 2.87-2.90, 3 Cu 2.92-2.95
Ag: 0.8993 0.1007 0.5000  10 Ag 2.85-2.93, 2 Cu 2.89
Ag: 0.1007 0.8993 0.5000  10 Ag 2.85-2.93, 2 Cu 2.89
Ag: 0.6961 0.3039 0.5000  10 Ag 2.83-2.94, 2 Cu 2.87

Results
**Theoretical density**: 9.76 g/cm³

Version B
VASP calculation (PBE) on a relaxed CuAg4 crystal.

Unit cell a=6.3808 b=4.0704 c=6.4439 alpha=90.00 beta=90.38 gamma=90.00
With the nearest neighbours (Å) after each atom.
Atoms (fractional coordinates):
Ag: 0.7606 0.7500 0.7621  3 Cu 2.74-2.80, 9 Ag 2.83-2.98
Ag: 0.6656 0.2500 0.0525  3 Cu 2.75-2.80, 9 Ag 2.83-3.01
Ag: 0.2394 0.2500 0.2379  3 Cu 2.74-2.80, 9 Ag 2.83-2.98
Ag: 0.5558 0.7500 0.3468  1 Cu 2.86, 11 Ag 2.86-2.97
Ag: 0.4442 0.2500 0.6532  1 Cu 2.86, 11 Ag 2.86-2.97
Ag: 0.8529 0.2500 0.4554  9 Ag 2.83-2.91, 3 Cu 2.86-2.93
Ag: 0.3344 0.7500 0.9475  3 Cu 2.75-2.80, 9 Ag 2.83-3.01
Ag: 0.1471 0.7500 0.5446  9 Ag 2.83-2.91, 3 Cu 2.86-2.93
Cu: 0.9532 0.7500 0.1440  10 Ag 2.74-2.93, 2 Cu 2.82
Cu: 0.0468 0.2500 0.8560  10 Ag 2.74-2.93, 2 Cu 2.82

Results
**Theoretical density**: 9.82 g/cm³

The computed energies, referenced to the most stable structure and given in meV/atom, are version A 9; version B 0.

Version A
VASP calculation (PBE) on a relaxed ZnW crystal.

Unit cell a=4.9776 b=10.9463 c=4.4805 alpha=90.00 beta=90.00 gamma=90.00
With the nearest neighbours (Å) after each atom.
Atoms (fractional coordinates):
Zn: 0.8483 0.6301 0.5000  4 Zn 2.62-2.75, 7 W 2.70-2.89
Zn: 0.8483 0.8699 0.5000  4 Zn 2.62-2.75, 7 W 2.70-2.89
Zn: 0.4851 0.1301 0.0000  4 Zn 2.62-2.75, 7 W 2.70-2.89
Zn: 0.4851 0.3699 0.0000  4 Zn 2.62-2.75, 7 W 2.70-2.89
Zn: 0.3016 0.2500 0.5000  6 Zn 2.75-2.84, 6 W 2.85-2.89
Zn: 0.9520 0.2500 0.0000  6 W 2.64-2.78, 4 Zn 2.67-2.84
Zn: 0.3813 0.7500 0.5000  6 W 2.64-2.78, 4 Zn 2.67-2.84
Zn: 0.0315 0.7500 0.0000  6 Zn 2.75-2.84, 6 W 2.85-2.90
W: 0.0015 0.4900 0.0000  6 Zn 2.64-2.89, 5 W 2.71-2.79
W: 0.8005 0.1159 0.5000  7 Zn 2.70-2.89, 5 W 2.71-2.98
W: 0.8005 0.3841 0.5000  7 Zn 2.70-2.89, 5 W 2.71-2.98
W: 0.3318 0.9901 0.5000  6 Zn 2.64-2.89, 5 W 2.71-2.79
W: 0.5328 0.6159 0.0000  7 Zn 2.70-2.90, 5 W 2.71-2.98
W: 0.3318 0.5099 0.5000  6 Zn 2.64-2.89, 5 W 2.71-2.79
W: 0.0015 0.0099 0.0000  6 Zn 2.64-2.89, 5 W 2.71-2.79
W: 0.5328 0.8841 0.0000  7 Zn 2.70-2.90, 5 W 2.71-2.98

Results
**Theoretical density**: 13.56 g/cm³

Version B
VASP calculation (PBE) on a relaxed ZnW crystal.

Unit cell a=4.9016 b=7.2800 c=4.5215 alpha=90.00 beta=90.00 gamma=70.33
With the nearest neighbours (Å) after each atom.
Atoms (fractional coordinates):
W: 0.3979 0.1982 0.0000  7 W 2.71-2.82, 5 Zn 2.79-2.88
W: 0.7960 0.4018 0.0000  7 W 2.71-2.82, 5 Zn 2.79-2.88
W: 0.4946 0.3968 0.5000  6 W 2.71-2.81, 6 Zn 2.77-2.93
W: 0.5761 0.8000 0.0000  2 W 2.73, 10 Zn 2.74-2.82
W: 0.0914 0.2032 0.5000  6 W 2.71-2.81, 6 Zn 2.77-2.93
Zn: 0.2579 0.8000 0.5000  8 Zn 2.71-2.85, 4 W 2.75-2.77
Zn: 0.6789 0.9905 0.5000  5 Zn 2.61-2.85, 6 W 2.77-2.81
Zn: 0.8694 0.6095 0.5000  5 Zn 2.61-2.85, 6 W 2.77-2.81
Zn: 0.9903 0.9903 0.0000  5 Zn 2.61-2.74, 7 W 2.74-2.88
Zn: 0.1806 0.6098 0.0000  5 Zn 2.61-2.74, 7 W 2.74-2.88

Results
**Theoretical density**: 13.62 g/cm³

The computed energies, referenced to the most stable structure and given in meV/atom, are version A 0; version B 47.

Version A
VASP calculation (PBE) on a relaxed MgAgTeO crystal.

Unit cell a=6.1957 b=3.6829 c=14.0804 alpha=90.00 beta=90.00 gamma=90.00
With the nearest neighbours (Å) after each atom.
Atoms (fractional coordinates):
Te: 0.7726 0.7500 0.0739  4 Ag 2.88-3.16, 2 Mg 2.97
Te: 0.2726 0.7500 0.4261  4 Ag 2.88-3.16, 2 Mg 2.97
Te: 0.2274 0.2500 0.9261  4 Ag 2.88-3.16, 2 Mg 2.97
Te: 0.7274 0.2500 0.5739  4 Ag 2.88-3.16, 2 Mg 2.97
O: 0.2193 0.7500 0.6857  2 Mg 1.88
O: 0.7807 0.2500 0.3143  2 Mg 1.88
O: 0.7193 0.7500 0.8143  2 Mg 1.88
O: 0.2807 0.2500 0.1857  2 Mg 1.88
Ag: 0.2631 0.7500 0.0822  2 O 2.35
Ag: 0.2369 0.2500 0.5822  2 O 2.35
Ag: 0.7631 0.7500 0.4178  2 O 2.35
Ag: 0.7369 0.2500 0.9178  2 O 2.35
Mg: 0.5774 0.2500 0.2148  2 O 1.88
Mg: 0.4226 0.7500 0.7852  2 O 1.88
Mg: 0.0774 0.2500 0.2852  2 O 1.88
Mg: 0.9226 0.7500 0.7148  2 O 1.88

Results
**Theoretical density**: 5.70 g/cm³

Version B
VASP calculation (PBE) on a relaxed MgAgTeO crystal.

Unit cell a=6.0265 b=15.7179 c=6.5672 alpha=90.00 beta=90.00 gamma=90.00
With the nearest neighbours (Å) after each atom.
Atoms (fractional coordinates):
Te: 0.9882 0.0660 0.7630  4 Ag 2.79-3.05, 1 Mg 3.00, 2 Te 3.02
Te: 0.5118 0.9340 0.2630  4 Ag 2.79-3.05, 1 Mg 3.00, 2 Te 3.02
Te: 0.5118 0.5660 0.7630  4 Ag 2.79-3.05, 1 Mg 3.00, 2 Te 3.02
Te: 0.4882 0.0660 0.7370  4 Ag 2.79-3.05, 1 Mg 3.00, 2 Te 3.02
Te: 0.0118 0.9340 0.2370  4 Ag 2.79-3.05, 1 Mg 3.00, 2 Te 3.02
Te: 0.0118 0.5660 0.7370  4 Ag 2.79-3.05, 1 Mg 3.00, 2 Te 3.02
Te: 0.9882 0.4340 0.2630  4 Ag 2.79-3.05, 1 Mg 3.00, 2 Te 3.02
Te: 0.4882 0.4340 0.2370  4 Ag 2.79-3.05, 1 Mg 3.00, 2 Te 3.02
Ag: 0.2805 0.5851 0.3521  1 O 2.32
Ag: 0.2195 0.4149 0.8521  1 O 2.32
Ag: 0.2805 0.9149 0.8521  1 O 2.32
Ag: 0.2195 0.0851 0.3521  1 O 2.32
Ag: 0.7805 0.5851 0.1479  1 O 2.32
Ag: 0.7195 0.0851 0.1479  1 O 2.32
Ag: 0.7805 0.9149 0.6479  1 O 2.32
Ag: 0.7195 0.4149 0.6479  1 O 2.32
O: 0.2100 0.2677 0.8643  3 Mg 1.97-1.98
O: 0.7100 0.2677 0.6357  3 Mg 1.97-1.98
O: 0.7900 0.7677 0.6357  3 Mg 1.97-1.98
O: 0.2900 0.7323 0.3643  3 Mg 1.97-1.98
O: 0.7100 0.2323 0.1357  3 Mg 1.97-1.98
O: 0.2900 0.7677 0.8643  3 Mg 1.97-1.98
O: 0.2100 0.2323 0.3643  3 Mg 1.97-1.98
O: 0.7900 0.7323 0.1357  3 Mg 1.97-1.98
Mg: 0.4663 0.7459 0.6164  3 O 1.97-1.98
Mg: 0.5337 0.2459 0.8836  3 O 1.97-1.98
Mg: 0.9663 0.7541 0.3836  3 O 1.97-1.98
Mg: 0.0337 0.2459 0.6164  3 O 1.97-1.98
Mg: 0.0337 0.2541 0.1164  3 O 1.97-1.98
Mg: 0.9663 0.7459 0.8836  3 O 1.97-1.98
Mg: 0.5337 0.2541 0.3836  3 O 1.97-1.98
Mg: 0.4663 0.7541 0.1164  3 O 1.97-1.98

Results
**Theoretical density**: 5.89 g/cm³

The computed energies, referenced to the most stable structure and given in meV/atom, are version A 216; version B 0.

Version A
VASP calculation (PBE) on a relaxed IrOF2 crystal.

Unit cell a=4.9204 b=7.1693 c=4.9602 alpha=90.00 beta=90.00 gamma=90.00
With the nearest neighbours (Å) after each atom.
Atoms (fractional coordinates):
Ir: 0.9901 0.8358 0.7658  3 F 1.89-2.04, 3 O 1.95-2.01
Ir: 0.5099 0.8358 0.2658  3 F 1.89-2.04, 3 O 1.95-2.01
Ir: 0.4901 0.1642 0.7658  3 F 1.89-2.04, 3 O 1.95-2.01
Ir: 0.0099 0.1642 0.2658  3 F 1.89-2.04, 3 O 1.95-2.01
F: 0.1454 0.3989 0.3772  1 Ir 1.89
F: 0.1558 0.7354 0.4233  2 Ir 2.02-2.04
F: 0.6454 0.6011 0.3772  1 Ir 1.89
F: 0.8546 0.6011 0.8772  1 Ir 1.89
F: 0.8442 0.2646 0.9233  2 Ir 2.02-2.04
F: 0.3442 0.7354 0.9233  2 Ir 2.02-2.04
F: 0.3546 0.3989 0.8772  1 Ir 1.89
F: 0.6558 0.2646 0.4233  2 Ir 2.02-2.04
O: 0.8507 0.9283 0.1158  3 Ir 1.95-2.01
O: 0.6493 0.9283 0.6158  3 Ir 1.95-2.01
O: 0.3507 0.0717 0.1158  3 Ir 1.95-2.01
O: 0.1493 0.0717 0.6158  3 Ir 1.95-2.01

Results
**Theoretical density**: 9.35 g/cm³

Version B
VASP calculation (PBE) on a relaxed IrOF2 crystal.

Unit cell a=5.2343 b=7.0007 c=4.7748 alpha=90.00 beta=98.35 gamma=90.00
With the nearest neighbours (Å) after each atom.
Atoms (fractional coordinates):
Ir: 0.0855 0.4295 0.9531  2 O 1.87-2.04, 3 F 1.98-2.01
Ir: 0.3192 0.1372 0.5013  2 O 1.87-1.95, 3 F 1.91-2.07
Ir: 0.9145 0.9295 0.0469  2 O 1.87-2.04, 3 F 1.98-2.01
Ir: 0.6808 0.6372 0.4987  2 O 1.87-1.95, 3 F 1.91-2.07
F: 0.5167 0.2118 0.2118  1 Ir 1.91
F: 0.4833 0.7118 0.7882  1 Ir 1.91
F: 0.3392 0.5392 0.2694  2 Ir 2.01-2.07
F: 0.1787 0.0046 0.8065  2 Ir 1.96-1.99
F: 0.7806 0.3622 0.6751  2 Ir 1.98-2.14
F: 0.8213 0.5046 0.1935  2 Ir 1.96-1.99
F: 0.6608 0.0392 0.7306  2 Ir 2.01-2.07
F: 0.2194 0.8622 0.3249  2 Ir 1.98-2.14
O: 0.0297 0.1904 0.2068  3 Ir 1.95-2.11
O: 0.9703 0.6904 0.7932  3 Ir 1.95-2.11
O: 0.3343 0.3535 0.7321  2 Ir 1.87
O: 0.6657 0.8535 0.2679  2 Ir 1.87

Results
**Theoretical density**: 9.45 g/cm³

The computed energies, referenced to the most stable structure and given in meV/atom, are version A 0; version B 156.

Version A
VASP calculation (PBE) on a relaxed GePdSO crystal.

Unit cell a=7.1168 b=9.3505 c=7.5334 alpha=90.00 beta=90.00 gamma=90.00
With the nearest neighbours (Å) after each atom.
Atoms (fractional coordinates):
Pd: 0.5021 0.2504 0.5011  2 O 2.12, 2 S 2.35
Pd: 0.0021 0.2504 0.9990  2 O 2.12, 2 S 2.35
Pd: 0.9979 0.7504 0.5011  2 O 2.12, 2 S 2.35
Pd: 0.4979 0.7496 0.4990  2 O 2.12, 2 S 2.35
Pd: 0.9979 0.7496 0.0010  2 O 2.12, 2 S 2.35
Pd: 0.4979 0.7504 0.9990  2 O 2.12, 2 S 2.35
Pd: 0.0021 0.2496 0.4990  2 O 2.12, 2 S 2.35
Pd: 0.5021 0.2496 0.0010  2 O 2.12, 2 S 2.35
Ge: 0.2508 0.4261 0.1870  1 O 1.88
Ge: 0.7508 0.0739 0.8130  1 O 1.88
Ge: 0.7508 0.4261 0.3130  1 O 1.88
Ge: 0.2492 0.5739 0.6870  1 O 1.88
Ge: 0.7492 0.5739 0.8130  1 O 1.88
Ge: 0.2492 0.9261 0.1870  1 O 1.88
Ge: 0.7492 0.9261 0.3130  1 O 1.88
Ge: 0.2508 0.0739 0.6870  1 O 1.88
S: 0.0002 0.6001 0.2517  2 Pd 2.35, 2 Ge 2.45-2.46
S: 0.5002 0.8999 0.7483  2 Pd 2.35, 2 Ge 2.45-2.46
S: 0.9998 0.3999 0.7483  2 Pd 2.35, 2 Ge 2.45-2.46
S: 0.0002 0.8999 0.7517  2 Pd 2.35, 2 Ge 2.45-2.46
S: 0.5002 0.6001 0.2483  2 Pd 2.35, 2 Ge 2.45-2.46
S: 0.4998 0.3999 0.7517  2 Pd 2.35, 2 Ge 2.45-2.46
S: 0.4998 0.1001 0.2517  2 Pd 2.35, 2 Ge 2.45-2.46
S: 0.9998 0.1001 0.2483  2 Pd 2.35, 2 Ge 2.45-2.46
O: 0.2477 0.8554 0.4209  1 Ge 1.88
O: 0.7477 0.8554 0.0791  1 Ge 1.88
O: 0.2477 0.6446 0.9209  1 Ge 1.88
O: 0.7477 0.6446 0.5791  1 Ge 1.88
O: 0.7523 0.3554 0.0791  1 Ge 1.88
O: 0.7523 0.1446 0.5791  1 Ge 1.88
O: 0.2523 0.3554 0.4209  1 Ge 1.88
O: 0.2523 0.1446 0.9209  1 Ge 1.88

Results
**Theoretical density**: 6.02 g/cm³

Version B
VASP calculation (PBE) on a relaxed GePdSO crystal.

Unit cell a=3.8098 b=3.8098 c=8.4754 alpha=90.00 beta=90.00 gamma=90.00
With the nearest neighbours (Å) after each atom.
Atoms (fractional coordinates):
Pd: 0.2500 0.2500 0.7657  1 O 2.31
Pd: 0.7500 0.7500 0.2343  1 O 2.31
Ge: 0.7500 0.2500 0.0000  4 Ge 2.69, 4 Pd 2.75
Ge: 0.2500 0.7500 0.0000  4 Ge 2.69, 4 Pd 2.75
O: 0.2500 0.2500 0.4932  1 S 1.51
O: 0.7500 0.7500 0.5068  1 S 1.51
S: 0.2500 0.2500 0.3154  1 O 1.51
S: 0.7500 0.7500 0.6846  1 O 1.51

Results
**Theoretical density**: 6.13 g/cm³

The computed energies, referenced to the most stable structure and given in meV/atom, are version A 0; version B 445.